Li5Co (GGA-PBE, optimized geometry); DFT formation energy = 0.481 eV per atom; N(E_F) = 5.5 states/eV/f.u.
1.0
4.985 0.000 0.000
-2.492 4.317 0.000
0.000 0.000 4.717
Li Co
5 1
direct
0.000 0.500 0.000
0.333 0.667 0.500
0.500 0.000 0.000
0.500 0.500 0.000
0.667 0.333 0.500
0.000 0.000 0.500

=====

TiCdSnN2 (GGA-PBE, optimized geometry); calculated total energy = -4.15 eV per atom; N(E_F) = 6.5 states/eV/f.u.
1.0
4.179 0.000 0.000
0.000 4.179 0.000
0.000 0.000 5.263
Ti Cd Sn N
1 1 1 2
direct
0.000 0.000 0.000
0.000 0.000 0.500
0.500 0.500 0.000
0.000 0.500 0.500
0.500 0.000 0.500

=====

LaZnRe2 (GGA-PBE, optimized geometry); DFT formation energy = 0.518 eV per atom; N(E_F) = 3.9 states/eV/f.u.
1.0
-1.625 2.531 4.907
1.625 -2.531 4.907
1.625 2.531 -4.907
La Zn Re
1 1 2
direct
0.000 0.000 0.000
0.708 0.208 0.500
0.284 0.784 0.500
0.472 0.472 0.000

=====

Nb2ZnFe3 (GGA-PBE, optimized geometry); DFT formation energy = -0.106 eV per atom; N(E_F) = 4.7 states/eV/f.u.
1.0
2.416 1.395 4.060
-2.416 1.395 4.060
0.000 -2.789 4.060
Nb Zn Fe
2 1 3
direct
0.122 0.122 0.122
0.878 0.878 0.878
0.500 0.500 0.500
0.000 0.500 0.500
0.500 0.000 0.500
0.500 0.500 0.000

=====

TbDy4Ir2 (GGA-PBE, optimized geometry); DFT formation energy = -0.532 eV per atom; N(E_F) = 7.5 states/eV/f.u.
1.0
7.868 0.000 0.000
0.000 6.352 0.000
-3.048 0.000 7.261
Tb Dy Ir
2 8 4
direct
0.028 0.250 0.157
0.972 0.750 0.843
0.238 0.503 0.585
0.238 0.997 0.585
0.334 0.750 0.249
0.379 0.250 0.015
0.621 0.750 0.985
0.666 0.250 0.751
0.762 0.003 0.415
0.762 0.497 0.415
0.014 0.250 0.742
0.410 0.250 0.373
0.590 0.750 0.627
0.986 0.750 0.258

=====

PrYSiS (GGA-PBE, optimized geometry); calculated total energy = -6.55 eV per atom; N(E_F) = 1.6 states/eV/f.u.
1.0
2.058 1.188 6.809
-2.058 1.188 6.809
0.000 -2.376 6.809
Pr Y Si S
1 1 1 1
direct
0.000 0.000 0.000
0.499 0.499 0.499
0.753 0.753 0.753
0.245 0.245 0.245

=====

CsAg3S (GGA-PBE, optimized geometry); offset from the most stable computed form = 0 meV per atom; N(E_F) = 1.9 states/eV/f.u.
1.0
5.266 0.000 0.000
0.000 5.266 0.000
0.000 0.000 5.266
Cs Ag S
1 3 1
direct
0.000 0.000 0.000
0.000 0.500 0.500
0.500 0.000 0.500
0.500 0.500 0.000
0.500 0.500 0.500

=====

PdSe2I (GGA-PBE, optimized geometry); offset from the most stable computed form = 90 meV per atom; N(E_F) = 2.0 states/eV/f.u.
1.0
8.044 0.000 0.000
0.000 3.813 0.000
0.000 0.000 16.701
Pd Se I
4 8 4
direct
0.027 0.250 0.090
0.473 0.750 0.590
0.527 0.250 0.410
0.973 0.750 0.910
0.159 0.250 0.946
0.168 0.750 0.159
0.332 0.250 0.659
0.341 0.750 0.446
0.659 0.250 0.554
0.668 0.750 0.341
0.832 0.250 0.841
0.841 0.750 0.054
0.021 0.250 0.612
0.479 0.750 0.112
0.521 0.250 0.888
0.979 0.750 0.388

=====

CsNdSiTe4 (GGA-PBE, optimized geometry); calculated total energy = -4.24 eV per atom
1.0
7.272 0.000 0.000
0.000 7.652 0.000
-3.451 0.000 9.949
Cs Nd Si Te
2 2 2 8
direct
0.243 0.250 0.059
0.757 0.750 0.941
0.231 0.250 0.550
0.769 0.750 0.450
0.210 0.750 0.331
0.790 0.250 0.669
0.021 0.508 0.706
0.021 0.992 0.706
0.405 0.750 0.174
0.421 0.750 0.574
0.579 0.250 0.426
0.595 0.250 0.826
0.979 0.008 0.294
0.979 0.492 0.294

=====

Sr3Er2NpAs6 (GGA-PBE, optimized geometry); DFT formation energy = -1.141 eV per atom; N(E_F) = 2.2 states/eV/f.u.
1.0
3.651 -6.321 0.000
3.651 6.321 0.000
-2.431 0.000 7.133
Sr Er Np As
3 2 1 6
direct
0.000 0.000 0.000
0.330 0.670 0.000
0.670 0.330 0.000
0.166 0.834 0.500
0.834 0.166 0.500
0.500 0.500 0.500
0.107 0.428 0.284
0.252 0.252 0.716
0.428 0.107 0.284
0.572 0.893 0.716
0.748 0.748 0.284
0.893 0.572 0.716

=====

KRuBr (GGA-PBE, optimized geometry); offset from the most stable computed form = 75 meV per atom; N(E_F) = 1.9 states/eV/f.u.
1.0
-1.765 1.765 5.921
1.765 -1.765 5.921
1.765 1.765 -5.921
K Ru Br
1 1 1
direct
0.000 0.000 0.000
0.285 0.285 0.000
0.726 0.726 0.000

=====

ZrCrSe2N (GGA-PBE, optimized geometry); offset from the most stable computed form = 0 meV per atom; N(E_F) = 2.5 states/eV/f.u.
1.0
4.962 0.000 0.000
0.000 4.962 0.000
0.000 0.000 3.554
Zr Cr Se N
1 1 2 1
direct
0.000 0.000 0.000
0.500 0.500 0.500
0.000 0.500 0.500
0.500 0.000 0.500
0.500 0.500 0.000

=====

| no. | total magnetization (μB/atom) |
| --- | --- |
| 1 | 0.26 |
| 2 | 0.00 |
| 3 | 0.00 |
| 4 | 0.69 |
| 5 | 0.00 |
| 6 | 0.00 |
| 7 | 0.00 |
| 8 | 0.00 |
| 9 | 0.00 |
| 10 | 0.09 |
| 11 | 0.14 |
| 12 | 0.27 |